Material: Zr2CdAu
Method: DFT, PBE
State: optimized geometry

Structure (POSCAR):
```
Zr2CdAu
1.0
5.347 -0.009 -0.014
1.846 5.019 0.014
-3.588 -2.517 3.063
Cd Au Zr
1 1 2
direct
0.250 0.750 0.500 Cd
0.750 0.250 0.500 Au
0.000 0.000 0.000 Zr
0.500 0.500 0.000 Zr
```

## Properties
Formation energy from the elements in eV per atom: -0.290
Calculated volume in Å³/f.u.: 82
Space-group type: I4/mmm


Material: La6As5Au
Method: DFT, PBE
State: optimized geometry

Structure (POSCAR):
```
La6As5Au
1.0
7.506 0.174 1.135
1.835 6.361 3.707
0.123 0.073 7.579
As La Au
5 6 1
direct
0.500 0.500 0.000 As
0.000 0.667 0.666 As
0.000 0.333 0.334 As
0.500 0.835 0.330 As
0.500 0.165 0.670 As
0.744 0.086 0.347 La
0.256 0.914 0.653 La
0.256 0.567 0.347 La
0.258 0.260 0.000 La
0.742 0.740 0.000 La
0.744 0.433 0.653 La
0.000 0.000 0.000 Au
```

## Properties
Formation energy from the elements in eV per atom: -1.421
Calculated volume in Å³/f.u.: 357
Space-group type: C2/m


Material: BiBRuS2
Method: DFT, PBE
State: optimized geometry

Structure (POSCAR):
```
BiBRuS2
1.0
5.232 0.000 0.000
0.000 4.612 0.000
0.000 0.000 5.232
S B Bi Ru
2 1 1 1
direct
0.000 0.000 0.500 S
0.500 0.000 0.000 S
0.000 0.500 0.000 B
0.000 0.000 0.000 Bi
0.500 0.500 0.500 Ru
```

## Properties
Electronic total energy in eV per cell: -19.03
Calculated volume in Å³/f.u.: 126
Space-group type: P4/mmm


Material: ZrBe2F8
Method: DFT, PBE
State: optimized geometry

Structure (POSCAR):
```
ZrBe2F8
1.0
-0.541 5.052 0.563
-2.700 0.278 4.865
2.722 0.868 4.783
F Be Zr
8 2 1
direct
0.198 0.337 0.909 F
0.642 0.148 0.148 F
0.802 0.663 0.091 F
0.802 0.091 0.663 F
0.243 0.362 0.362 F
0.757 0.638 0.638 F
0.358 0.852 0.852 F
0.198 0.909 0.337 F
0.679 0.792 0.792 Be
0.321 0.208 0.208 Be
0.000 0.000 0.000 Zr
```

## Properties
Electronic total energy in eV per cell: -66.65
Calculated volume in Å³/f.u.: 132
Space-group type: C2/m


Material: VHgSe2
Method: DFT, PBE
State: optimized geometry

Structure (POSCAR):
```
VHgSe2
1.0
-5.132 3.022 8.560
-4.461 -0.137 9.424
-2.186 2.257 9.943
Se Hg V
2 1 1
direct
0.885 0.885 0.885 Se
0.115 0.115 0.115 Se
0.000 0.000 0.000 Hg
0.500 0.500 0.500 V
```

## Properties
Electronic total energy in eV per cell: -18.46
Calculated volume in Å³/f.u.: 99
Space-group type: R-3m


Material: Pt2PbWSe
Method: DFT, PBE
State: optimized geometry

Structure (POSCAR):
```
Pt2PbWSe
1.0
-1.513 -2.416 3.684
-0.672 -4.471 -3.207
4.369 -1.322 0.927
W Se Pt Pb
1 1 2 1
direct
0.500 0.500 0.500 W
0.000 0.000 0.000 Se
0.500 0.000 0.000 Pt
0.000 0.000 0.500 Pt
0.000 0.500 0.000 Pb
```

## Properties
Electronic total energy in eV per cell: -25.12
Calculated volume in Å³/f.u.: 120
Space-group type: P4/mmm


Material: LiSmAu
Method: DFT, PBE
State: optimized geometry

Structure (POSCAR):
```
LiSmAu
1.0
4.125 0.000 0.000
0.000 6.542 -3.777
0.000 0.000 7.554
Sm Au Li
3 3 3
direct
0.500 0.000 0.589 Sm
0.500 0.411 0.411 Sm
0.500 0.589 0.000 Sm
0.000 0.667 0.333 Au
0.500 0.000 0.000 Au
0.000 0.333 0.667 Au
0.000 0.236 0.000 Li
0.000 0.000 0.236 Li
0.000 0.764 0.764 Li
```

## Properties
Formation energy from the elements in eV per atom: -0.592
Calculated volume in Å³/f.u.: 68
Space-group type: P-62m


Material: SmHo2ScSe4
Method: DFT, PBE
State: optimized geometry

Structure (POSCAR):
```
SmHo2ScSe4
1.0
4.005 0.000 0.000
0.000 7.085 0.171
0.000 -2.427 6.556
Ho Sm Se Sc
2 1 4 1
direct
0.000 0.500 0.500 Ho
0.500 0.000 0.500 Ho
0.500 0.500 0.000 Sm
0.500 0.238 0.245 Se
0.000 0.239 0.747 Se
0.000 0.761 0.253 Se
0.500 0.762 0.755 Se
0.000 0.000 0.000 Sc
```

## Properties
Electronic total energy in eV per cell: -47.70
Calculated volume in Å³/f.u.: 188
Space-group type: P2/m


Material: HgAsP2
Method: DFT, PBE
State: optimized geometry

Structure (POSCAR):
```
HgAsP2
1.0
-2.345 -5.246 0.416
5.099 -2.152 1.603
0.028 -2.644 6.717
P As Hg
4 2 2
direct
0.375 0.401 0.750 P
0.599 0.125 0.250 P
0.151 0.625 0.250 P
0.875 0.849 0.750 P
0.500 0.500 0.000 As
0.250 0.750 0.500 As
0.000 0.000 0.000 Hg
0.750 0.250 0.500 Hg
```

## Properties
Formation energy from the elements in eV per atom: 0.311
Calculated volume in Å³/f.u.: 99
Space-group type: I-42d


Material: ZrReSCl2
Method: DFT, PBE
State: optimized geometry

Structure (POSCAR):
```
ZrReSCl2
1.0
5.090 0.000 0.000
0.000 5.090 0.000
0.000 0.000 5.005
Cl Re S Zr
2 1 1 1
direct
0.000 0.500 0.000 Cl
0.500 0.000 0.000 Cl
0.500 0.500 0.500 Re
0.000 0.000 0.500 S
0.000 0.000 0.000 Zr
```

## Properties
Electronic total energy in eV per cell: -27.45
Calculated volume in Å³/f.u.: 130
Space-group type: P4/mmm


Material: Pr2Y15Ho2
Method: DFT, PBE
State: optimized geometry

Structure (POSCAR):
```
Pr2Y15Ho2
1.0
-6.595 -0.834 -5.751
-5.295 -5.453 4.416
-5.771 5.728 3.341
Y Ho Pr
15 2 2
direct
0.303 0.697 0.000 Y
0.697 0.000 0.303 Y
0.628 0.628 0.154 Y
0.372 0.846 0.372 Y
0.303 0.000 0.697 Y
0.000 0.303 0.697 Y
0.000 0.000 0.500 Y
0.154 0.628 0.628 Y
0.500 0.000 0.000 Y
0.628 0.154 0.628 Y
0.000 0.500 0.000 Y
0.697 0.303 0.000 Y
0.372 0.372 0.846 Y
0.000 0.697 0.303 Y
0.846 0.372 0.372 Y
0.325 0.325 0.325 Ho
0.675 0.675 0.675 Ho
0.115 0.115 0.115 Pr
0.885 0.885 0.885 Pr
```

## Properties
Formation energy from the elements in eV per atom: 0.303
Calculated volume in Å³/f.u.: 649
Space-group type: R-3m


Material: Mn3WS
Method: DFT, PBE
State: optimized geometry

Structure (POSCAR):
```
Mn3WS
1.0
4.047 0.000 0.000
0.000 4.047 0.000
0.000 0.000 4.047
Mn W S
3 1 1
direct
0.500 0.000 0.000 Mn
0.000 0.000 0.500 Mn
0.000 0.500 0.000 Mn
0.500 0.500 0.500 W
0.000 0.000 0.000 S
```

## Properties
Electronic total energy in eV per cell: -41.74
Calculated volume in Å³/f.u.: 66
Space-group type: Pm-3m


Material: Ca3ScAl
Method: DFT, PBE
State: optimized geometry

Structure (POSCAR):
```
Ca3ScAl
1.0
5.807 0.000 0.000
0.000 5.807 0.000
0.000 0.000 5.807
Al Ca Sc
1 3 1
direct
0.000 0.000 0.000 Al
0.500 0.000 0.000 Ca
0.000 0.000 0.500 Ca
0.000 0.500 0.000 Ca
0.500 0.500 0.500 Sc
```

## Properties
Formation energy from the elements in eV per atom: 0.409
Calculated volume in Å³/f.u.: 196
Space-group type: Pm-3m


Material: Th2ReSi3Ir4
Method: DFT, PBE
State: optimized geometry

Structure (POSCAR):
```
Th2ReSi3Ir4
1.0
4.188 0.000 0.000
0.000 4.188 0.000
0.000 0.000 10.240
Si Ir Th Re
3 4 2 1
direct
0.000 0.000 0.500 Si
0.500 0.000 0.870 Si
0.000 0.500 0.130 Si
0.000 0.000 0.000 Ir
0.500 0.500 0.000 Ir
0.000 0.500 0.369 Ir
0.500 0.000 0.631 Ir
0.000 0.500 0.757 Th
0.500 0.000 0.243 Th
0.500 0.500 0.500 Re
```

## Properties
Electronic total energy in eV per cell: -87.93
Calculated volume in Å³/f.u.: 180
Space-group type: P-4m2


Material: Nb3AuN
Method: DFT, PBE
State: optimized geometry

Structure (POSCAR):
```
Nb3AuN
1.0
5.834 -0.001 0.000
-0.826 5.434 0.009
0.827 2.090 5.015
Au Nb N
2 6 2
direct
0.192 0.281 0.588 Au
0.184 0.806 0.063 Au
0.465 0.616 0.757 Nb
0.465 0.112 0.252 Nb
0.682 0.669 0.200 Nb
0.974 0.731 0.620 Nb
0.690 0.167 0.701 Nb
0.974 0.248 0.138 Nb
0.716 0.426 0.942 N
0.716 0.927 0.443 N
```

## Properties
Electronic total energy in eV per cell: -88.11
Calculated volume in Å³/f.u.: 79
Space-group type: Cm


Material: Ho7Ag2Rh2
Method: DFT, PBE
State: optimized geometry

Structure (POSCAR):
```
Ho7Ag2Rh2
1.0
-3.000 0.939 -5.881
5.394 -3.166 -3.257
-2.006 -5.889 2.401
Ho Ag Rh
7 2 2
direct
0.000 0.000 0.000 Ho
0.500 0.751 0.500 Ho
0.500 0.744 0.000 Ho
0.500 0.249 0.500 Ho
0.500 0.256 0.000 Ho
0.000 0.744 0.500 Ho
0.000 0.256 0.500 Ho
0.819 0.500 0.819 Ag
0.181 0.500 0.181 Ag
0.711 0.000 0.289 Rh
0.289 0.000 0.711 Rh
```

## Properties
Formation energy from the elements in eV per atom: -0.337
Calculated volume in Å³/f.u.: 298
Space-group type: Cmmm


Material: Ca2AsAu
Method: DFT, PBE
State: optimized geometry

Structure (POSCAR):
```
Ca2AsAu
1.0
5.119 0.000 0.000
0.000 3.658 0.000
0.000 0.000 5.120
Ca As Au
2 1 1
direct
0.000 0.125 0.875 Ca
0.500 0.125 0.375 Ca
0.000 0.625 0.375 As
0.500 0.625 0.875 Au
```

## Properties
Formation energy from the elements in eV per atom: -0.925
Calculated volume in Å³/f.u.: 96
Space-group type: P4/mmm


Material: TbTm2CdRh4
Method: DFT, PBE
State: optimized geometry

Structure (POSCAR):
```
TbTm2CdRh4
1.0
-3.697 -1.105 -2.753
0.623 -2.740 -3.818
-2.343 -7.559 2.099
Tm Tb Rh Cd
2 1 4 1
direct
0.756 0.756 0.731 Tm
0.244 0.244 0.269 Tm
0.000 0.000 0.000 Tb
0.877 0.877 0.368 Rh
0.123 0.123 0.632 Rh
0.375 0.375 0.874 Rh
0.625 0.625 0.126 Rh
0.500 0.500 0.500 Cd
```

## Properties
Formation energy from the elements in eV per atom: -0.788
Calculated volume in Å³/f.u.: 150
Space-group type: R-3m


Material: MgCoRu4
Method: DFT, PBE
State: optimized geometry

Structure (POSCAR):
```
MgCoRu4
1.0
2.422 -0.541 4.442
-0.262 3.679 3.506
-2.659 -0.743 4.274
Ru Mg Co
4 1 1
direct
0.875 0.375 0.375 Ru
0.375 0.375 0.375 Ru
0.375 0.375 0.875 Ru
0.375 0.875 0.375 Ru
0.000 0.000 0.000 Mg
0.750 0.750 0.750 Co
```

## Properties
Formation energy from the elements in eV per atom: 0.483
Calculated volume in Å³/f.u.: 93
Space-group type: F-43m


Material: Ba2Tm3Se6
Method: DFT, PBE
State: optimized geometry

Structure (POSCAR):
```
Ba2Tm3Se6
1.0
6.891 0.000 2.051
3.445 6.223 1.025
0.142 0.000 7.909
Ba Se Tm
2 6 3
direct
0.167 0.666 0.500 Ba
0.833 0.334 0.500 Ba
0.265 0.000 0.210 Se
0.735 0.000 0.790 Se
0.597 0.332 0.208 Se
0.929 0.668 0.208 Se
0.071 0.332 0.792 Se
0.403 0.668 0.792 Se
0.666 0.668 0.000 Tm
0.334 0.332 0.000 Tm
0.000 0.000 0.000 Tm
```

## Properties
Electronic total energy in eV per cell: -59.23
Calculated volume in Å³/f.u.: 337
Space-group type: C2/m